Computed, not measured: a relaxed LaNdGeAu crystal at the PBE-GGA level of DFT.

Formation energy from the elements: -0.809 eV per atom
V: 216.80 Å³/cell
Energy relative to the lowest polymorph listed for this composition: 0 meV per atom

Cell and atoms, written as CIF:
```
data_LaNdGeAu
_symmetry_space_group_name_H-M 'A m m 2'
_symmetry_Int_Tables_number 38
_cell_length_a 4.4625
_cell_length_b 4.2432
_cell_length_c 11.4494
_cell_angle_alpha 90.00
_cell_angle_beta 90.00
_cell_angle_gamma 90.00
loop_
_symmetry_equiv_pos_as_xyz
'x,y,z'
'-x,-y,z'
'-x,y,z'
'x,-y,z'
'x,y+1/2,z+1/2'
'-x,-y+1/2,z+1/2'
'-x,y+1/2,z+1/2'
'x,-y+1/2,z+1/2'
loop_
_atom_site_label
_atom_site_fract_x
_atom_site_fract_y
_atom_site_fract_z
La1 0.0000 0.0000 0.0000
Nd1 0.5000 0.0000 0.2762
Ge1 0.0000 0.0000 0.7265
Au1 0.5000 0.0000 0.5615
```


Computed, not measured: a relaxed CaSmPd crystal at the PBE-GGA level of DFT.

Formation energy from the elements: -0.443 eV per atom
V: 175.73 Å³/cell
Energy relative to the lowest polymorph listed for this composition: 89 meV per atom

Cell and atoms, written as CIF:
```
data_CaSmPd
_symmetry_space_group_name_H-M 'P 1 21/m 1'
_symmetry_Int_Tables_number 11
_cell_length_a 5.7742
_cell_length_b 4.9264
_cell_length_c 6.3891
_cell_angle_alpha 90.00
_cell_angle_beta 104.78
_cell_angle_gamma 90.00
loop_
_symmetry_equiv_pos_as_xyz
'x,y,z'
'-x,-y,-z'
'-x,y+1/2,-z'
'x,-y+1/2,z'
loop_
_atom_site_label
_atom_site_fract_x
_atom_site_fract_y
_atom_site_fract_z
Ca1 0.0749 0.2500 0.2831
Sm1 0.4730 0.2500 0.8220
Pd1 0.3862 0.7500 0.5901
```


Computed, not measured: a relaxed SrTeH crystal at the PBE-GGA level of DFT.

Uncorrected energy: -0.1411 Ha/atom
V: 469.04 Å³/cell

Cell and atoms, written as CIF:
```
data_SrTeH
_symmetry_space_group_name_H-M 'R 3 m'
_symmetry_Int_Tables_number 160
_symmetry_space_group_name_Hall 'R 3 -2"'
_cell_length_a 4.6886
_cell_length_b 4.6886
_cell_length_c 24.6393
_cell_angle_alpha 90.00
_cell_angle_beta 90.00
_cell_angle_gamma 120.00
loop_
_atom_site_label
_atom_site_fract_x
_atom_site_fract_y
_atom_site_fract_z
Sr1 0.0000 0.0000 0.0000
Sr2 0.0000 0.0000 0.1692
Te1 0.0000 0.0000 0.4151
Te2 0.0000 0.0000 0.5867
H1 0.0000 0.0000 0.8158
H2 0.0000 0.0000 0.8473
```